Compound: SrZn2Co
Source: Alexandria via LeMat-Bulk
Functional: PBEsol
Structure: optimized geometry

Computed properties:
Formation energy from the elements: 0.296 eV per atom
Electronic total energy: -0.1062 Ha/atom
Symmetry: Imm2

```
SrZn2Co
1.0
4.347 0.000 0.000
0.000 5.330 0.000
0.000 0.000 6.831
Sr Zn Co
2 4 2
Cartesian
0.000 0.000 0.000
2.174 2.665 3.416
0.000 0.000 3.275
0.000 2.665 1.271
2.174 0.000 4.686
2.174 2.665 6.691
0.000 2.665 5.677
2.174 0.000 2.261
```

=====

Compound: NiSbP
Source: Alexandria via LeMat-Bulk
Functional: PBEsol
Structure: optimized geometry

Computed properties:
Polymorph energy (0 for the lowest one): 0.677 eV/atom
Electronic total energy: -0.1881 Ha/atom
Symmetry: F-43m

```
NiSbP
1.0
6.016 0.000 0.000
0.000 6.016 0.000
0.000 0.000 6.016
Ni Sb P
4 4 4
Cartesian
0.000 0.000 0.000
0.000 3.008 3.008
3.008 0.000 3.008
3.008 3.008 0.000
0.000 0.000 3.008
0.000 3.008 0.000
3.008 0.000 0.000
3.008 3.008 3.008
1.504 1.504 4.512
1.504 4.512 1.504
4.512 1.504 1.504
4.512 4.512 4.512
```

=====

Compound: ZrTlIr2
Source: Alexandria via LeMat-Bulk
Functional: PBEsol
Structure: optimized geometry

Computed properties:
Formation energy from the elements: -0.238 eV per atom
Electronic total energy: -0.2969 Ha/atom
Symmetry: I-4m2

```
ZrTlIr2
1.0
3.925 0.000 0.000
0.000 3.925 0.000
0.000 0.000 8.865
Zr Tl Ir
2 2 4
Cartesian
0.000 0.000 0.000
1.963 1.963 4.432
0.000 1.963 2.216
1.963 0.000 6.649
0.000 0.000 4.432
0.000 1.963 6.649
1.963 0.000 2.216
1.963 1.963 0.000
```

=====

Compound: Ag2RuPtAu
Source: Alexandria via LeMat-Bulk
Functional: PBEsol
Structure: optimized geometry

Computed properties:
Formation energy from the elements: 1.754 eV per atom
Electronic total energy: -0.1390 Ha/atom
Symmetry: P4/mmm

```
Ag2RuPtAu
1.0
4.862 0.000 0.000
0.000 4.862 0.000
0.000 0.000 4.806
Ag Ru Pt Au
2 1 1 1
Cartesian
0.000 2.431 0.000
2.431 0.000 0.000
0.000 0.000 2.403
2.431 2.431 2.403
0.000 0.000 0.000
```

=====

Compound: In2Hg5Te8
Source: Alexandria via LeMat-Bulk
Functional: PBEsol
Structure: optimized geometry

Computed properties:
Electronic total energy: -0.0978 Ha/atom
Symmetry: I-4m2

```
In2Hg5Te8
1.0
-4.514 4.514 6.306
4.514 -4.514 6.306
4.514 4.514 -6.306
In Hg Te
2 5 8
Cartesian
0.000 0.000 3.098
0.000 0.000 9.515
2.053 2.053 0.000
2.460 -2.460 6.306
4.514 0.000 3.153
-2.460 2.460 6.306
2.460 2.460 6.306
4.514 2.263 1.494
2.263 4.514 -1.494
2.251 0.000 4.812
0.000 2.487 1.810
-2.027 4.514 4.497
2.027 4.514 4.497
0.000 6.541 1.810
0.000 2.251 7.801
```

=====

Compound: Sc3SiNi3
Source: Alexandria via LeMat-Bulk
Functional: PBEsol
Structure: optimized geometry

Computed properties:
Electronic total energy: -0.2539 Ha/atom
Symmetry: C2/m

```
Sc3SiNi3
1.0
4.695 -1.814 0.000
4.695 1.814 0.000
-4.139 0.000 12.805
Sc Si Ni
6 2 6
Cartesian
-1.463 0.000 4.904
-2.809 0.000 11.841
1.332 0.000 2.879
3.919 0.000 9.926
8.059 0.000 0.964
6.714 0.000 7.901
0.004 0.000 7.916
5.247 0.000 4.889
1.316 0.000 5.979
-0.145 0.000 11.848
1.222 0.000 9.884
4.029 0.000 2.921
5.395 0.000 0.957
3.934 0.000 6.827
```

=====

The lowest electronic total energy belongs to which entry? ZrTlIr2

=====

Copy entry 5 word for word.
Compound: In2Hg5Te8
Source: Alexandria via LeMat-Bulk
Functional: PBEsol
Structure: optimized geometry

Computed properties:
Electronic total energy: -0.0978 Ha/atom
Symmetry: I-4m2

```
In2Hg5Te8
1.0
-4.514 4.514 6.306
4.514 -4.514 6.306
4.514 4.514 -6.306
In Hg Te
2 5 8
Cartesian
0.000 0.000 3.098
0.000 0.000 9.515
2.053 2.053 0.000
2.460 -2.460 6.306
4.514 0.000 3.153
-2.460 2.460 6.306
2.460 2.460 6.306
4.514 2.263 1.494
2.263 4.514 -1.494
2.251 0.000 4.812
0.000 2.487 1.810
-2.027 4.514 4.497
2.027 4.514 4.497
0.000 6.541 1.810
0.000 2.251 7.801
```

=====

The highest electronic total energy belongs to which entry? In2Hg5Te8